(A)
Computed, not measured: a relaxed ZrCuN2F crystal at the PBE level of DFT.

Total moment, μB/cell: 0.8
Space group: P4/mmm
N(E_F), states/eV/f.u.: 3.821

Cell lengths 4.2297, 4.2297, 4.1444 Å; angles 90.00, 90.00, 90.00 degrees
With the nearest neighbours (Å) after each atom.
Fractional positions:
Zr: 0.0000 0.0000 0.0000  2 F 2.07, 4 N 2.11
Cu: 0.5000 0.5000 0.5000  8 N 2.96, 4 F 2.99
N: 0.0000 0.5000 0.0000  2 Zr 2.11
N: 0.5000 0.0000 0.0000  2 Zr 2.11
F: 0.0000 0.0000 0.5000  2 Zr 2.07


(B)
Computed, not measured: a relaxed ZrCuN2F crystal at the PBE level of DFT.

Total moment, μB/cell: 0.0
Space group: P4/mmm
N(E_F), states/eV/f.u.: 1.764

Cell lengths 3.8227, 3.8227, 3.6678 Å; angles 90.00, 90.00, 90.00 degrees
With the nearest neighbours (Å) after each atom.
Fractional positions:
Zr: 0.0000 0.0000 0.0000  8 N 2.65, 4 F 2.70
Cu: 0.5000 0.5000 0.5000  2 F 1.83, 4 N 1.91
N: 0.0000 0.5000 0.5000  2 Cu 1.91
N: 0.5000 0.0000 0.5000  2 Cu 1.91
F: 0.5000 0.5000 0.0000  2 Cu 1.83


Which of them is the most stable? Correct choice: (A).


(A)
Computed, not measured: a relaxed Na3CuF6 crystal at the PBE level of DFT.

Total moment, μB/cell: 2.0
Space group: Fmmm

Cell lengths 6.4800, 6.1325, 5.2943 Å; angles 68.64, 61.81, 49.55 degrees
With the nearest neighbours (Å) after each atom.
Fractional positions:
Na: 0.0000 0.0000 0.0000  2 F 2.13
Na: 0.2500 0.2500 0.2500  4 F 2.37
Na: 0.7500 0.7500 0.7500  4 F 2.37
Cu: 0.5000 0.5000 0.5000  6 F 1.90-1.93
F: 0.1649 0.5728 0.8351  1 Cu 1.93
F: 0.2639 0.7361 0.2639  1 Cu 1.90, 1 Na 2.13
F: 0.4272 0.8351 0.5728  1 Cu 1.93
F: 0.5728 0.1649 0.4272  1 Cu 1.93
F: 0.7361 0.2639 0.7361  1 Cu 1.90, 1 Na 2.13
F: 0.8351 0.4272 0.1649  1 Cu 1.93


(B)
Computed, not measured: a relaxed Na3CuF6 crystal at the PBE level of DFT.

Total moment, μB/cell: 4.0
Space group: P2_1/c

Cell lengths 5.5220, 5.7703, 9.6736 Å; angles 90.00, 124.53, 90.00 degrees
With the nearest neighbours (Å) after each atom.
Fractional positions:
Na: 0.0000 0.0000 0.0000  6 F 2.25-2.31
Na: 0.0000 0.5000 0.5000  6 F 2.25-2.31
Na: 0.2261 0.0607 0.7445  5 F 2.31-2.54
Na: 0.2261 0.4393 0.2445  5 F 2.31-2.54
Na: 0.7739 0.5607 0.7555  5 F 2.31-2.54
Na: 0.7739 0.9393 0.2555  5 F 2.31-2.54
Cu: 0.5000 0.0000 0.5000  6 F 1.92-1.94
Cu: 0.5000 0.5000 0.0000  6 F 1.92-1.94
F: 0.1638 0.1785 0.4471  1 Cu 1.92
F: 0.1638 0.3215 0.9471  1 Cu 1.92
F: 0.2586 0.7231 0.4274  1 Cu 1.94
F: 0.2586 0.7769 0.9274  1 Cu 1.94
F: 0.3934 0.0561 0.2747  1 Cu 1.94
F: 0.3934 0.4439 0.7747  1 Cu 1.94
F: 0.6066 0.5561 0.2253  1 Cu 1.94
F: 0.6066 0.9439 0.7253  1 Cu 1.94
F: 0.7414 0.2231 0.0726  1 Cu 1.94
F: 0.7414 0.2769 0.5726  1 Cu 1.94
F: 0.8362 0.6785 0.0529  1 Cu 1.92
F: 0.8362 0.8215 0.5529  1 Cu 1.92


Which of them is the most stable? Correct choice: (B).